Record 1
A PBEsol-optimized structure of HoGeAu, computed with SCAN.

Cell and atoms, written as CIF:
```
data_HoGeAu
_chemical_formula_sum 'Ho2 Ge2 Au2'
_symmetry_space_group_name_H-M 'P 63 m c'
_symmetry_Int_Tables_number 186
_symmetry_space_group_name_Hall 'P 6c -2c'
_cell_length_a 4.4013
_cell_length_b 4.4013
_cell_length_c 7.1266
_cell_angle_alpha 90.00
_cell_angle_beta 90.00
_cell_angle_gamma 120.00
loop_
_atom_site_label
_atom_site_type_symbol
_atom_site_fract_x
_atom_site_fract_y
_atom_site_fract_z
Ho1 Ho 0.0000 0.0000 0.0000
Ge1 Ge 0.3333 0.6667 0.2921
Au1 Au 0.3333 0.6667 0.7073
```

## Properties
For the total energy, the calculation gives -46.800 eV per atom. For the density of states at the Fermi level, the calculation gives 0.6 states/eV/cell. Its formation energy is -1055.8 meV per atom. For the calculated density, the calculation gives 12.07 Mg/m³.

Record 2
A PBEsol-optimized structure of HoGeAu, computed with SCAN.

Cell and atoms, written as CIF:
```
data_HoGeAu
_chemical_formula_sum 'Ho4 Ge4 Au4'
_symmetry_space_group_name_H-M 'F -4 3 m'
_symmetry_Int_Tables_number 216
_symmetry_space_group_name_Hall 'F -4 2 3'
_cell_length_a 6.407
_cell_length_b 6.407
_cell_length_c 6.407
_cell_angle_alpha 90.00
_cell_angle_beta 90.00
_cell_angle_gamma 90.00
loop_
_atom_site_label
_atom_site_type_symbol
_atom_site_fract_x
_atom_site_fract_y
_atom_site_fract_z
Ho1 Ho 0.000 0.000 0.000
Ge1 Ge 0.000 0.000 0.500
Au1 Au 0.250 0.250 0.250
```

## Properties
For the total energy, the calculation gives -46.749 eV per atom. For the density of states at the Fermi level, the calculation gives 0.3 states/eV/cell. Its formation energy is -1005.0 meV per atom. For the calculated density, the calculation gives 10.97 Mg/m³.

Record 3
A PBEsol-optimized structure of In2GeAu2, computed with SCAN.

Cell and atoms, written as CIF:
```
data_In2GeAu2
_chemical_formula_sum 'In4 Ge2 Au4'
_symmetry_space_group_name_H-M 'I 4/m m m'
_symmetry_Int_Tables_number 139
_symmetry_space_group_name_Hall '-I 4 2'
_cell_length_a 3.799
_cell_length_b 3.799
_cell_length_c 14.857
_cell_angle_alpha 90.00
_cell_angle_beta 90.00
_cell_angle_gamma 90.00
loop_
_atom_site_label
_atom_site_type_symbol
_atom_site_fract_x
_atom_site_fract_y
_atom_site_fract_z
In1 In 0.000 0.000 0.102
Ge1 Ge 0.000 0.000 0.500
Au1 Au 0.000 0.500 0.250
```

## Properties
For the total energy, the calculation gives -44.788 eV per atom. For the density of states at the Fermi level, the calculation gives 3.7 states/eV/cell. Its formation energy is 46.7 meV per atom. For the calculated density, the calculation gives 10.79 Mg/m³.